K2LiUSe6, relaxed, DFT PBE-GGA; raw total energy = -45.01 eV for the cell shown; magnetic moment = 0.41 μB/f.u.; Fermi-level density of states = 0.337 states/eV/atom; ΔE_f (raw) = -0.87 eV per atom; calculated volume = 328.7 Å³/f.u.; space group = C2/m
1.0
8.555 -2.714 0.000
8.555 2.714 0.000
-3.095 0.000 7.080
K Li U Se
2 1 1 6
Direct
0.235 0.235 0.230
0.765 0.765 0.770
0.000 0.000 0.500
0.500 0.500 0.000
0.157 0.667 0.187
0.333 0.843 0.813
0.363 0.363 0.690
0.637 0.637 0.310
0.667 0.157 0.187
0.843 0.333 0.813